Material: OF
Method: DFT, PBE-GGA
State: relaxed

Summary:
Formation energy (no corrections) in eV per atom: 0.4108
Energy relative to the lowest polymorph listed for this composition in meV/atom: 556.1
E in eV/atom: -3.004
Crystal system: orthorhombic

```
data_OF
_chemical_formula_sum 'O6 F6'
_symmetry_space_group_name_H-M 'P m m n'
_symmetry_Int_Tables_number 59
_cell_length_a 2.574
_cell_length_b 10.390
_cell_length_c 6.211
_cell_angle_alpha 90.00
_cell_angle_beta 90.00
_cell_angle_gamma 90.00
loop_
_symmetry_equiv_pos_as_xyz
'x,y,z'
'-x,-y,-z'
'-x+1/2,-y+1/2,z'
'x+1/2,y+1/2,-z'
'x+1/2,-y,-z'
'-x+1/2,y,z'
'-x,y+1/2,-z'
'x,-y+1/2,z'
loop_
_atom_site_label
_atom_site_type_symbol
_atom_site_fract_x
_atom_site_fract_y
_atom_site_fract_z
_atom_site_occupancy
O1 O 0.250 0.020 0.052 1
O2 O 0.250 0.750 0.582 1
F1 F 0.250 0.250 0.016 1
F2 F 0.250 0.641 0.443 1
```